*w*
# CsH2Cl

An optimized crystal structure of CsH2Cl (GGA-PBE, Alexandria via LeMat-Bulk).

Total magnetic moment (μB/cell): 8.0
Crystal system: cubic

Cell: 7.247 7.247 7.247 Å, 90.00 90.00 90.00°
Element x y z (fractional)
Cs 0.000 0.000 0.000
Cs 0.000 0.500 0.500
Cs 0.500 0.000 0.500
Cs 0.500 0.500 0.000
H 0.250 0.250 0.250
H 0.250 0.250 0.750
H 0.250 0.750 0.250
H 0.250 0.750 0.750
H 0.750 0.250 0.250
H 0.750 0.250 0.750
H 0.750 0.750 0.250
H 0.750 0.750 0.750
Cl 0.000 0.000 0.500
Cl 0.000 0.500 0.000
Cl 0.500 0.000 0.000
Cl 0.500 0.500 0.500

***

*x*
# CsH2Cl

An optimized crystal structure of CsH2Cl (GGA-PBE, Alexandria via LeMat-Bulk).

Total magnetic moment (μB/cell): 0.2
Crystal system: monoclinic

Cell: 4.917 4.853 8.942 Å, 90.00 90.08 90.00°
Element x y z (fractional)
Cs 0.250 0.250 0.195
Cs 0.750 0.750 0.805
H 0.248 0.672 0.534
H 0.248 0.828 0.534
H 0.752 0.172 0.466
H 0.752 0.328 0.466
Cl 0.250 0.250 0.808
Cl 0.750 0.750 0.192

***

The data favor *x*; the next most stable structure lies 1.130 eV/atom above it.

***

*w*
# CsLiHCl

An optimized crystal structure of CsLiHCl (GGA-PBE, Alexandria via LeMat-Bulk).

Total magnetic moment (μB/cell): 0.0
Crystal system: monoclinic

Cell: 4.296 4.161 6.498 Å, 90.00 96.42 90.00°
Element x y z (fractional)
Cs 0.000 0.000 0.000
Li 0.504 0.500 0.408
H 0.535 0.500 0.137
Cl 0.414 0.000 0.558

***

*x*
# CsLiHCl

An optimized crystal structure of CsLiHCl (GGA-PBE, Alexandria via LeMat-Bulk).

Total magnetic moment (μB/cell): 0.0
Crystal system: triclinic

Cell: 4.150 4.797 6.726 Å, 94.83 90.21 115.25°
Element x y z (fractional)
Cs 0.000 0.000 0.000
Li 0.735 0.472 0.460
H 0.699 0.401 0.197
Cl 0.276 0.554 0.632

***

The data favor *w*; the next most stable structure lies 0.007 eV/atom above it.

***

*w*
# CsLiHCl

An optimized crystal structure of CsLiHCl (GGA-PBE, Alexandria via LeMat-Bulk).

Total magnetic moment (μB/cell): 0.1
Crystal system: monoclinic

Cell: 13.074 4.100 3.711 Å, 90.00 106.01 90.00°
Element x y z (fractional)
Cs 0.000 0.000 0.000
Cs 0.500 0.500 0.000
Li 0.222 0.500 0.237
Li 0.722 0.000 0.237
H 0.136 0.500 0.640
H 0.636 0.000 0.640
Cl 0.325 0.000 0.330
Cl 0.825 0.500 0.330

***

*x*
# CsLiHCl

An optimized crystal structure of CsLiHCl (GGA-PBE, Alexandria via LeMat-Bulk).

Total magnetic moment (μB/cell): 0.0
Crystal system: monoclinic

Cell: 14.868 3.739 5.124 Å, 90.00 108.15 90.00°
Element x y z (fractional)
Cs 0.000 0.000 0.000
Cs 0.500 0.500 0.000
Li 0.249 0.500 0.740
Li 0.749 0.000 0.740
H 0.309 0.000 0.804
H 0.809 0.500 0.804
Cl 0.087 0.500 0.579
Cl 0.587 0.000 0.579

***

The data favor *w*; the next most stable structure lies 0.031 eV/atom above it.

***

*w*
# CsLiHCl

An optimized crystal structure of CsLiHCl (GGA-PBE, Alexandria via LeMat-Bulk).

Total magnetic moment (μB/cell): 0.0
Crystal system: monoclinic

Cell: 12.023 4.297 3.914 Å, 90.00 90.55 90.00°
Element x y z (fractional)
Cs 0.000 0.000 0.000
Cs 0.500 0.500 0.000
Li 0.234 0.500 0.493
Li 0.734 0.000 0.493
H 0.172 0.500 0.990
H 0.672 0.000 0.990
Cl 0.340 0.000 0.495
Cl 0.840 0.500 0.495

***

*x*
# CsLiHCl

An optimized crystal structure of CsLiHCl (GGA-PBE, Alexandria via LeMat-Bulk).

Total magnetic moment (μB/cell): 0.2
Crystal system: trigonal

Cell: 4.220 4.220 20.683 Å, 90.00 90.00 120.00°
Element x y z (fractional)
Cs 0.000 0.000 0.000
Cs 0.333 0.667 0.667
Cs 0.667 0.333 0.333
Li 0.000 0.000 0.178
Li 0.333 0.667 0.845
Li 0.667 0.333 0.511
H 0.000 0.000 0.264
H 0.333 0.667 0.931
H 0.667 0.333 0.597
Cl 0.000 0.000 0.467
Cl 0.333 0.667 0.134
Cl 0.667 0.333 0.800

***

*y*
# CsLiHCl

An optimized crystal structure of CsLiHCl (GGA-PBE, Alexandria via LeMat-Bulk).

Total magnetic moment (μB/cell): 0.1
Crystal system: monoclinic

Cell: 13.298 3.935 4.193 Å, 90.00 92.47 90.00°
Element x y z (fractional)
Cs 0.000 0.000 0.000
Cs 0.500 0.500 0.000
Li 0.276 0.000 0.502
Li 0.776 0.500 0.502
H 0.408 0.000 0.483
H 0.908 0.500 0.483
Cl 0.181 0.500 0.534
Cl 0.681 0.000 0.534

***

The data favor *y*; the next most stable structure lies 0.028 eV/atom above it.

***

*w*
# CsRbHClO

An optimized crystal structure of CsRbHClO (GGA-PBE, Alexandria via LeMat-Bulk).

Total magnetic moment (μB/cell): 0.1
Crystal system: triclinic

Cell: 4.291 4.347 8.122 Å, 88.04 89.33 69.45°
Element x y z (fractional)
Cs 0.000 0.000 0.000
Rb 0.000 0.964 0.527
H 0.548 0.541 0.748
Cl 0.370 0.360 0.287
O 0.657 0.699 0.768

***

*x*
# CsRbHClO

An optimized crystal structure of CsRbHClO (GGA-PBE, Alexandria via LeMat-Bulk).

Total magnetic moment (μB/cell): 0.0
Crystal system: monoclinic

Cell: 4.563 4.567 7.197 Å, 90.00 91.69 90.00°
Element x y z (fractional)
Cs 0.000 0.000 0.000
Rb 0.521 0.500 0.411
H 0.489 0.500 0.906
Cl 0.026 0.000 0.508
O 0.506 0.500 0.041

***

The data favor *x*; the next most stable structure lies 0.034 eV/atom above it.

***

*w*
# CsRbHClO

An optimized crystal structure of CsRbHClO (GGA-PBE, Alexandria via LeMat-Bulk).

Total magnetic moment (μB/cell): 0.1
Crystal system: monoclinic

Cell: 4.526 4.073 7.394 Å, 90.00 95.74 90.00°
Element x y z (fractional)
Cs 0.000 0.000 0.000
Rb 0.420 0.000 0.569
H 0.899 0.500 0.558
Cl 0.543 0.500 0.232
O 0.960 0.500 0.688

***

*x*
# CsRbHClO

An optimized crystal structure of CsRbHClO (GGA-PBE, Alexandria via LeMat-Bulk).

Total magnetic moment (μB/cell): 0.0
Crystal system: monoclinic

Cell: 7.923 5.975 5.716 Å, 90.00 103.84 90.00°
Element x y z (fractional)
Cs 0.000 0.000 0.000
Cs 0.500 0.500 0.000
Rb 0.156 0.500 0.456
Rb 0.656 0.000 0.456
H 0.170 0.000 0.548
H 0.670 0.500 0.548
Cl 0.352 0.000 0.715
Cl 0.852 0.500 0.715
O 0.102 0.500 0.950
O 0.602 0.000 0.950

***

*y*
# CsRbHClO

An optimized crystal structure of CsRbHClO (GGA-PBE, Alexandria via LeMat-Bulk).

Total magnetic moment (μB/cell): 0.1
Crystal system: trigonal

Cell: 4.662 4.662 7.476 Å, 90.00 90.00 120.00°
Element x y z (fractional)
Cs 0.000 0.000 0.000
Rb 0.667 0.333 0.569
H 0.333 0.667 0.644
Cl 0.333 0.667 0.314
O 0.333 0.667 0.775

***

*z*
# CsRbHClO

An optimized crystal structure of CsRbHClO (GGA-PBE, Alexandria via LeMat-Bulk).

Total magnetic moment (μB/cell): 0.1
Crystal system: triclinic

Cell: 4.384 4.950 8.240 Å, 82.21 74.76 64.01°
Element x y z (fractional)
Cs 0.000 0.000 0.000
Rb 0.857 0.794 0.493
H 0.578 0.586 0.251
Cl 0.438 0.400 0.725
O 0.476 0.805 0.244

***

The data favor *y*; the next most stable structure lies 0.011 eV/atom above it.

***

*w*
# CsRbHClO

An optimized crystal structure of CsRbHClO (GGA-PBE, Alexandria via LeMat-Bulk).

Total magnetic moment (μB/cell): 0.2
Crystal system: monoclinic

Cell: 8.265 4.811 7.673 Å, 90.00 111.13 90.00°
Element x y z (fractional)
Cs 0.000 0.000 0.000
Cs 0.500 0.500 0.000
Rb 0.481 0.000 0.435
Rb 0.981 0.500 0.435
H 0.194 0.500 0.090
H 0.694 0.000 0.090
Cl 0.239 0.000 0.711
Cl 0.739 0.500 0.711
O 0.243 0.500 0.226
O 0.743 0.000 0.226

***

*x*
# CsRbHClO

An optimized crystal structure of CsRbHClO (GGA-PBE, Alexandria via LeMat-Bulk).

Total magnetic moment (μB/cell): 0.2
Crystal system: monoclinic

Cell: 8.229 4.774 7.649 Å, 90.00 111.13 90.00°
Element x y z (fractional)
Cs 0.000 0.000 0.000
Cs 0.500 0.500 0.000
Rb 0.477 0.000 0.427
Rb 0.977 0.500 0.427
H 0.291 0.500 0.365
H 0.791 0.000 0.365
Cl 0.228 0.000 0.683
Cl 0.728 0.500 0.683
O 0.243 0.500 0.228
O 0.743 0.000 0.228

***

The data favor *x*; the next most stable structure lies 0.020 eV/atom above it.

***

*w*
# CsRbHClO

An optimized crystal structure of CsRbHClO (GGA-PBE, Alexandria via LeMat-Bulk).

Total magnetic moment (μB/cell): 0.1
Crystal system: monoclinic

Cell: 4.395 5.701 5.814 Å, 90.00 104.24 90.00°
Element x y z (fractional)
Cs 0.000 0.000 0.000
Rb 0.230 0.500 0.565
H 0.480 0.000 0.514
Cl 0.581 0.500 0.136
O 0.331 0.000 0.614

***

*x*
# CsRbHClO

An optimized crystal structure of CsRbHClO (GGA-PBE, Alexandria via LeMat-Bulk).

Total magnetic moment (μB/cell): 0.0
Crystal system: triclinic

Cell: 4.552 4.568 7.112 Å, 84.68 83.44 89.75°
Element x y z (fractional)
Cs 0.000 0.000 0.000
Rb 0.420 0.436 0.418
H 0.539 0.534 0.905
Cl 0.899 0.919 0.520
O 0.478 0.482 0.039

***

The data favor *x*; the next most stable structure lies 0.021 eV/atom above it.

***

*w*
# CsP2HCl

An optimized crystal structure of CsP2HCl (GGA-PBE, Alexandria via LeMat-Bulk).

Total magnetic moment (μB/cell): 0.8
Crystal system: tetragonal

Cell: 4.178 4.178 8.314 Å, 90.00 90.00 90.00°
Element x y z (fractional)
Cs 0.000 0.000 0.000
P 0.000 0.500 0.500
P 0.500 0.000 0.500
H 0.500 0.500 0.500
Cl 0.500 0.500 0.000

***

*x*
# CsP2HCl

An optimized crystal structure of CsP2HCl (GGA-PBE, Alexandria via LeMat-Bulk).

Total magnetic moment (μB/cell): 7.0
Crystal system: tetragonal

Cell: 8.187 8.187 6.350 Å, 90.00 90.00 90.00°
Element x y z (fractional)
Cs 0.000 0.000 0.000
P 0.000 0.500 0.000
P 0.500 0.000 0.000
H 0.500 0.500 0.500
Cl 0.000 0.000 0.500

***

The data favor *w*; the next most stable structure lies 0.882 eV/atom above it.

***

*w*
# CsRbHCl

An optimized crystal structure of CsRbHCl (GGA-PBE, Alexandria via LeMat-Bulk).

Total magnetic moment (μB/cell): 0.2
Crystal system: cubic

Cell: 7.975 7.975 7.975 Å, 90.00 90.00 90.00°
Element x y z (fractional)
Cs 0.000 0.000 0.000
Cs 0.000 0.500 0.500
Cs 0.500 0.000 0.500
Cs 0.500 0.500 0.000
Rb 0.000 0.000 0.500
Rb 0.000 0.500 0.000
Rb 0.500 0.000 0.000
Rb 0.500 0.500 0.500
H 0.250 0.250 0.250
H 0.250 0.750 0.750
H 0.750 0.250 0.750
H 0.750 0.750 0.250
Cl 0.250 0.250 0.750
Cl 0.250 0.750 0.250
Cl 0.750 0.250 0.250
Cl 0.750 0.750 0.750

***

*x*
# CsRbHCl

An optimized crystal structure of CsRbHCl (GGA-PBE, Alexandria via LeMat-Bulk).

Total magnetic moment (μB/cell): 0.1
Crystal system: trigonal

Cell: 4.643 4.643 22.981 Å, 90.00 90.00 120.00°
Element x y z (fractional)
Cs 0.000 0.000 0.000
Cs 0.333 0.667 0.667
Cs 0.667 0.333 0.333
Rb 0.000 0.000 0.514
Rb 0.333 0.667 0.181
Rb 0.667 0.333 0.847
H 0.000 0.000 0.253
H 0.333 0.667 0.920
H 0.667 0.333 0.587
Cl 0.000 0.000 0.762
Cl 0.333 0.667 0.429
Cl 0.667 0.333 0.096

***

The data favor *x*; the next most stable structure lies 0.073 eV/atom above it.

***

*w*
# CsHSCl2

An optimized crystal structure of CsHSCl2 (GGA-PBE, Alexandria via LeMat-Bulk).

Total magnetic moment (μB/cell): 3.7
Crystal system: tetragonal

Cell: 6.277 6.277 5.745 Å, 90.00 90.00 90.00°
Element x y z (fractional)
Cs 0.000 0.000 0.000
H 0.500 0.500 0.500
S 0.000 0.000 0.500
Cl 0.000 0.500 0.000
Cl 0.500 0.000 0.000

***

*x*
# CsHSCl2

An optimized crystal structure of CsHSCl2 (GGA-PBE, Alexandria via LeMat-Bulk).

Total magnetic moment (μB/cell): 2.0
Crystal system: tetragonal

Cell: 5.971 5.971 3.450 Å, 90.00 90.00 90.00°
Element x y z (fractional)
Cs 0.000 0.000 0.000
H 0.500 0.500 0.500
S 0.500 0.500 0.000
Cl 0.000 0.500 0.500
Cl 0.500 0.000 0.500

***

The data favor *x*; the next most stable structure lies 0.951 eV/atom above it.

***

*w*
# Cs2HfCl

An optimized crystal structure of Cs2HfCl (GGA-PBE, Alexandria via LeMat-Bulk).

Total magnetic moment (μB/cell): 12.0
Crystal system: cubic

Cell: 9.319 9.319 9.319 Å, 90.00 90.00 90.00°
Element x y z (fractional)
Cs 0.250 0.250 0.250
Cs 0.250 0.250 0.750
Cs 0.250 0.750 0.250
Cs 0.250 0.750 0.750
Cs 0.750 0.250 0.250
Cs 0.750 0.250 0.750
Cs 0.750 0.750 0.250
Cs 0.750 0.750 0.750
Hf 0.000 0.000 0.000
Hf 0.000 0.500 0.500
Hf 0.500 0.000 0.500
Hf 0.500 0.500 0.000
Cl 0.000 0.000 0.500
Cl 0.000 0.500 0.000
Cl 0.500 0.000 0.000
Cl 0.500 0.500 0.500

***

*x*
# Cs2HfCl

An optimized crystal structure of Cs2HfCl (GGA-PBE, Alexandria via LeMat-Bulk).

Total magnetic moment (μB/cell): 12.0
Crystal system: tetragonal

Cell: 9.942 9.942 8.896 Å, 90.00 90.00 90.00°
Element x y z (fractional)
Cs 0.189 0.750 0.125
Cs 0.250 0.189 0.875
Cs 0.250 0.311 0.375
Cs 0.311 0.750 0.625
Cs 0.689 0.250 0.625
Cs 0.750 0.689 0.375
Cs 0.750 0.811 0.875
Cs 0.811 0.250 0.125
Hf 0.000 0.000 0.500
Hf 0.000 0.500 0.750
Hf 0.500 0.000 0.250
Hf 0.500 0.500 0.000
Cl 0.000 0.000 0.000
Cl 0.000 0.500 0.250
Cl 0.500 0.000 0.750
Cl 0.500 0.500 0.500

***

The data favor *x*; the next most stable structure lies 0.111 eV/atom above it.